Below is NdNpN4 after structural relaxation, with properties calculated at the PBE level.

abc: 6.185 4.535 6.132
angles: 90.00 105.67 90.00
Space group C2/m (No. 12)
Inequivalent atoms, fractional coordinates:
1 Nd 0.000 0.000 0.000 x2
2 Np 0.000 0.500 0.500 x2
3 N 0.097 0.500 0.823 x4
4 N 0.099 0.000 0.478 x4

As for the energy above the most stable polymorph in this dataset: 0.000 eV per atom. The volume is 13.8 Å³/atom. The value obtained for the total DFT energy (no corrections) is -9.431 eV/atom. The calculation puts the uncorrected formation energy at -0.930 eV per atom.